An optimized crystal structure of Ga2AgWF, computed with GGA+U.

Unit cell a=4.903 b=4.903 c=5.409 alpha=90.00 beta=90.00 gamma=90.00
Sites, in units of the cell vectors:
1 Ga 0.000 0.500 0.000
2 Ga 0.500 0.000 0.000
3 Ag 0.000 0.000 0.000
4 W 0.000 0.000 0.500
5 F 0.500 0.500 0.500

Properties
density: 5.7 g/cm³
calculated total energy: -2.975 eV per atom
symmetry: P4/mmm